(a)
## Si2RhBr (PBE)

Data for a relaxed Si2RhBr crystal.

Calculated values
volume: 83.5 Å³/cell
N(E_F): 2.55 states/eV per cell
crystal system: monoclinic

Unit cell a=4.082 b=3.692 c=5.586 alpha=90.00 beta=97.33 gamma=90.00
Element x y z (fractional)
Si  0.000  0.000  0.000
Si  0.365  0.500  0.993
Rh  0.862  0.500  0.238
Br  0.721  0.000  0.579

---

(b)
## Si2RhBr (PBE)

Data for a relaxed Si2RhBr crystal.

Calculated values
volume: 70.3 Å³/cell
N(E_F): 1.12 states/eV per cell
crystal system: orthorhombic

Unit cell a=5.706 b=5.706 c=5.706 alpha=149.99 beta=130.34 gamma=59.12
Element x y z (fractional)
Si  0.000  0.000  0.000
Si  0.754  0.254  0.500
Rh  0.569  0.569  0.000
Br  0.321  0.821  0.500

---

Stability ranking, top and bottom: (a) is the most stable and (b) is the least stable.

---

(a)
## CaRuS2Cl (PBE)

Data for a relaxed CaRuS2Cl crystal.

Calculated values
volume: 107.2 Å³/cell
N(E_F): 3.50 states/eV per cell
crystal system: tetragonal

Unit cell a=4.691 b=4.691 c=4.873 alpha=90.00 beta=90.00 gamma=90.00
Element x y z (fractional)
Ca  0.000  0.000  0.000
Ru  0.500  0.500  0.500
S  0.000  0.500  0.500
S  0.500  0.000  0.500
Cl  0.500  0.500  0.000

---

(b)
## CaRuS2Cl (PBE)

Data for a relaxed CaRuS2Cl crystal.

Calculated values
volume: 139.3 Å³/cell
N(E_F): 5.75 states/eV per cell
crystal system: tetragonal

Unit cell a=5.248 b=5.248 c=5.058 alpha=90.00 beta=90.00 gamma=90.00
Element x y z (fractional)
Ca  0.000  0.000  0.000
Ru  0.500  0.500  0.500
S  0.000  0.500  0.000
S  0.500  0.000  0.000
Cl  0.000  0.000  0.500

---

Stability ranking, top and bottom: (a) is the most stable and (b) is the least stable.